1.
A relaxed structure of Li2CoSi, computed with GGA-PBE.

Cell and atoms, written as POSCAR:
```
Li2CoSi
1.0
8.284 0.000 0.000
0.000 2.767 0.000
-1.488 0.000 4.287
Li Co Si
4 2 2
Direct
0.000 0.000 0.000
0.238 0.000 0.851
0.500 0.500 0.000
0.738 0.500 0.851
0.487 0.000 0.460
0.987 0.500 0.460
0.260 0.500 0.397
0.760 0.000 0.397
```

Computed properties:
Formation energy from raw total energies in eV per formula unit: -0.66
Calculated volume in Å³/atom: 12.284

---

2.
A relaxed structure of Ti6TlV, computed with GGA-PBE.

Cell and atoms, written as POSCAR:
```
Ti6TlV
1.0
2.327 1.343 7.486
-2.327 1.343 7.486
0.000 -2.686 7.486
Ti Tl V
6 1 1
Direct
0.117 0.117 0.117
0.251 0.251 0.251
0.369 0.369 0.369
0.631 0.631 0.631
0.749 0.749 0.749
0.883 0.883 0.883
0.500 0.500 0.500
0.000 0.000 0.000
```

Computed properties:
Calculated volume in Å³/atom: 17.545
Electronic total energy in eV for the cell shown: -58.1